No. 1
This record from the Alexandria database describes ScNbGaIr2 after structural relaxation. The functional is PBE.

* M_tot: 1.8 μB/cell
* DFT total energy: -6.84 eV/atom
* calculated density: 9.9 Mg/m³
* DFT formation energy: 0.59 eV/atom

Lattice parameters (Å, degrees): 4.5608 4.5608 4.7522 90.00 90.00 90.00
Last column: nearest neighbours and their distance in Å.
Space group P4/mmm (No. 123)
Symmetry-distinct sites (fractional):
Sc 0.0000 0.0000 0.0000 [1 per cell]  4 Nb 3.22, 8 Ir 3.29
Nb 0.5000 0.5000 0.0000 [1 per cell]  2 Ga 2.38
Ga 0.5000 0.5000 0.5000 [1 per cell]  4 Ir 2.28, 2 Nb 2.38
Ir 0.0000 0.5000 0.5000 [2 per cell]  2 Ga 2.28

---

No. 2
This record from the Alexandria database describes TbTmSnSe after structural relaxation. The functional is PBE.

* M_tot: 0.0 μB/cell
* DFT total energy: -5.35 eV/atom
* calculated density: 8.1 Mg/m³
* ΔE_f (raw): -1204 meV/atom

Lattice parameters (Å, degrees): 4.2517 4.2517 5.9611 90.00 90.00 90.00
Last column: nearest neighbours and their distance in Å.
Space group P4/mmm (No. 123)
Symmetry-distinct sites (fractional):
Tb 0.0000 0.0000 0.0000 [1 per cell]  2 Se 2.98, 4 Sn 3.01
Tm 0.5000 0.5000 0.5000 [1 per cell]  2 Sn 2.98, 4 Se 3.01
Sn 0.5000 0.5000 0.0000 [1 per cell]  2 Tm 2.98, 4 Tb 3.01
Se 0.0000 0.0000 0.5000 [1 per cell]  2 Tb 2.98, 4 Tm 3.01